Entry 1:
Below is crystalline AlNi2W at its relaxed geometry, with properties calculated at the PBE level.

a b c (Å): 2.7400 2.7400 6.7645
angles (deg): 90.00 90.00 90.00
Last column: nearest neighbours and their distance in Å.
Sites, in units of the cell vectors:
Al 0.0000 0.0000 0.0000  8 Ni 2.48, 4 Al 2.74
Ni 0.5000 0.5000 0.2287  4 Al 2.48, 4 W 2.67, 4 Ni 2.74
Ni 0.5000 0.5000 0.7713  4 Al 2.48, 4 W 2.67, 4 Ni 2.74
W 0.0000 0.0000 0.5000  8 Ni 2.67, 4 W 2.74

Computed properties:
As for the density of states at the Fermi level: 3.65 states/eV/f.u. The value obtained for the formation enthalpy at 0 K is -6.63 kcal/mol of atoms.



Entry 2:
Below is crystalline Y2Zn2CdRh5 at its relaxed geometry, with properties calculated at the PBE level.

a b c (Å): 9.6287 9.6287 3.7362
angles (deg): 90.00 90.00 90.00
Last column: nearest neighbours and their distance in Å.
Sites, in units of the cell vectors:
Y 0.1758 0.3242 0.0000  3 Zn 2.75-2.91, 2 Rh 3.04
Y 0.3242 0.8242 0.0000  3 Zn 2.75-2.91, 2 Rh 3.04
Y 0.6758 0.1758 0.0000  3 Zn 2.75-2.91, 2 Rh 3.04
Y 0.8242 0.6758 0.0000  3 Zn 2.75-2.91, 2 Rh 3.04
Zn 0.1219 0.6219 0.0000  6 Rh 2.50-2.54, 1 Y 2.75
Zn 0.3781 0.1219 0.0000  6 Rh 2.50-2.54, 1 Y 2.75
Zn 0.6219 0.8781 0.0000  6 Rh 2.50-2.54, 1 Y 2.75
Zn 0.8781 0.3781 0.0000  6 Rh 2.50-2.54, 1 Y 2.75
Cd 0.0000 0.0000 0.0000  8 Rh 2.82
Cd 0.5000 0.5000 0.0000  8 Rh 2.82
Rh 0.0000 0.5000 0.5000  4 Zn 2.50
Rh 0.0697 0.7922 0.5000  2 Zn 2.54, 2 Cd 2.82
Rh 0.2078 0.0697 0.5000  2 Zn 2.54, 2 Cd 2.82
Rh 0.2922 0.5697 0.5000  2 Zn 2.54, 2 Cd 2.82
Rh 0.4303 0.2922 0.5000  2 Zn 2.54, 2 Cd 2.82
Rh 0.5000 0.0000 0.5000  4 Zn 2.50
Rh 0.5697 0.7078 0.5000  2 Zn 2.54, 2 Cd 2.82
Rh 0.7078 0.4303 0.5000  2 Zn 2.54, 2 Cd 2.82
Rh 0.7922 0.9303 0.5000  2 Zn 2.54, 2 Cd 2.82
Rh 0.9303 0.2078 0.5000  2 Zn 2.54, 2 Cd 2.82

Computed properties:
As for the density of states at the Fermi level: 5.60 states/eV/f.u. The value obtained for the formation enthalpy at 0 K is -11.94 kcal/mol of atoms.



Entry 3:
Below is crystalline Cs3Pu2ThTe6 at its relaxed geometry, with properties calculated at the PBE level.

a b c (Å): 8.0790 8.0790 9.3193
angles (deg): 98.31 98.31 120.00
Last column: nearest neighbours and their distance in Å.
Sites, in units of the cell vectors:
Cs 0.0000 0.0000 0.0000  6 Te 3.83-3.86
Cs 0.3320 0.6680 0.0000  6 Te 3.83-3.85
Cs 0.6680 0.3320 0.0000  6 Te 3.83-3.85
Pu 0.1666 0.8334 0.5000  6 Te 3.21
Pu 0.8334 0.1666 0.5000  6 Te 3.21
Th 0.5000 0.5000 0.5000  6 Te 3.17
Te 0.1063 0.4359 0.3076  1 Th 3.17, 2 Pu 3.21
Te 0.2348 0.2348 0.6928  1 Th 3.17, 2 Pu 3.21
Te 0.4359 0.1063 0.3076  1 Th 3.17, 2 Pu 3.21
Te 0.5641 0.8937 0.6924  1 Th 3.17, 2 Pu 3.21
Te 0.7652 0.7652 0.3072  1 Th 3.17, 2 Pu 3.21
Te 0.8937 0.5641 0.6924  1 Th 3.17, 2 Pu 3.21

Computed properties:
The calculation puts the total energy at -71.6 eV/cell. As for the density of states at the Fermi level: 32.69 states/eV/f.u.